Record 1
Pm2HoTl2: relaxed, PBE.

It has space group Cmc2_1 (No. 36), with a = 5.1999 Å, b = 17.3195 Å, c = 6.6289 Å, α = 90.00°, β = 90.00° and γ = 90.00°. Symmetry generates all atoms from Pm at (0.0000, 0.0143, 0.0000), Pm at (0.0000, 0.1989, 0.4432), Ho at (0.0000, 0.3923, 0.2267), Tl at (0.0000, 0.2005, 0.9457) and Tl at (0.0000, 0.4105, 0.7435).

The value obtained for the energy of formation from the pure elements is -0.24 eV per atom. The magnetization is 0.000 μB per cell. The energy is -4.00 eV per atom. The energy above the lowest structure with this stoichiometry comes out at 34 kJ/mol of formula units.



Record 2
Pm8Ho6Tl: relaxed, PBE.

It has space group P-3 (No. 147), with a = 9.3785 Å, b = 9.3785 Å, c = 6.4813 Å, α = 90.00°, β = 90.00° and γ = 120.00°. Symmetry generates all atoms from Pm at (0.0422, 0.7699, 0.3188), Pm at (0.3333, 0.6667, 0.3409), Ho at (0.0979, 0.6466, 0.8300) and Tl at (0.0000, 0.0000, 0.0000).

The value obtained for the energy of formation from the pure elements is 0.09 eV per atom. The magnetization is 0.000 μB per cell. The energy is -4.43 eV per atom.



Please write out number 2 again, unchanged.
Pm8Ho6Tl: relaxed, PBE.

It has space group P-3 (No. 147), with a = 9.3785 Å, b = 9.3785 Å, c = 6.4813 Å, α = 90.00°, β = 90.00° and γ = 120.00°. Symmetry generates all atoms from Pm at (0.0422, 0.7699, 0.3188), Pm at (0.3333, 0.6667, 0.3409), Ho at (0.0979, 0.6466, 0.8300) and Tl at (0.0000, 0.0000, 0.0000).

The value obtained for the energy of formation from the pure elements is 0.09 eV per atom. The magnetization is 0.000 μB per cell. The energy is -4.43 eV per atom.